(1)
Here is Ce3CdAs4 after structural relaxation from the Alexandria database. Energies are from PBE.

Cell lengths 5.9303, 5.9303, 5.9303 Å; angles 90.00, 90.00, 90.00 degrees
Closest atoms and distances in Å follow each position.
Positions (direct):
Ce  0.0000  0.0000  0.5000  6 As 2.97
Ce  0.0000  0.5000  0.0000  6 As 2.97
Ce  0.5000  0.0000  0.0000  6 As 2.97
Cd  0.5000  0.5000  0.5000  6 As 2.97
As  0.0000  0.0000  0.0000  6 Ce 2.97
As  0.0000  0.5000  0.5000  2 Cd 2.97, 4 Ce 2.97
As  0.5000  0.0000  0.5000  2 Cd 2.97, 4 Ce 2.97
As  0.5000  0.5000  0.0000  2 Cd 2.97, 4 Ce 2.97

Output
V = 26.07 A^3/atom
Symmetry = No. 221
E_form = -1.01 eV per atom

(2)
Here is Ce2CdAs4Ir3 after structural relaxation from the Alexandria database. Energies are from PBE.

Cell lengths 4.3798, 4.3798, 10.2011 Å; angles 90.00, 90.00, 90.00 degrees
Closest atoms and distances in Å follow each position.
Positions (direct):
Ce  0.0000  0.5000  0.2360  8 As 3.25-3.31, 7 Ir 3.34-3.56, 2 Cd 3.47
Ce  0.5000  0.0000  0.7640  8 As 3.25-3.31, 7 Ir 3.34-3.56, 2 Cd 3.47
Cd  0.0000  0.0000  0.5000  4 As 2.66
As  0.0000  0.0000  0.0000  4 Ir 2.47
As  0.0000  0.5000  0.6485  3 Ir 2.43-2.66, 2 Cd 2.66
As  0.5000  0.0000  0.3515  3 Ir 2.43-2.66, 2 Cd 2.66
As  0.5000  0.5000  0.0000  4 Ir 2.47
Ir  0.0000  0.5000  0.8871  5 As 2.43-2.47
Ir  0.5000  0.0000  0.1129  5 As 2.43-2.47
Ir  0.5000  0.5000  0.5000  4 As 2.66

Output
V = 19.57 A^3/atom
Symmetry = No. 115
E_form = -0.64 eV per atom

(3)
Here is CeCdAsN after structural relaxation from the Alexandria database. Energies are from PBE.

Cell lengths 4.1462, 4.1462, 9.2208 Å; angles 90.00, 90.00, 90.00 degrees
Closest atoms and distances in Å follow each position.
Positions (direct):
Ce  0.2500  0.2500  0.1149  4 N 2.33
Ce  0.7500  0.7500  0.8851  4 N 2.33
Cd  0.2500  0.7500  0.5000  4 As 2.79, 4 Cd 2.93
Cd  0.7500  0.2500  0.5000  4 As 2.79, 4 Cd 2.93
As  0.2500  0.2500  0.7029  4 Cd 2.79
As  0.7500  0.7500  0.2971  4 Cd 2.79
N  0.2500  0.7500  0.0000  4 Ce 2.33
N  0.7500  0.2500  0.0000  4 Ce 2.33

Output
V = 19.81 A^3/atom
ΔE_f (raw) = -893 meV per atom
Symmetry = No. 129

| no. | total magnetization (μB per formula unit) |
| --- | --- |
| 1 | 1.79 |
| 2 | 0.99 |
| 3 | 0.16 |